Mg5Pd2Au PBE optimized geometry; formation enthalpy at 0 K = -544 meV per atom; Fermi-level density of states = 0.267 states/eV per atom
1.0
5.7176 0.0000 0.0000
0.0000 11.1896 0.0000
0.0000 0.0000 4.4855
Mg Pd Au
10 4 2
Cartesian
0.0000 0.0000 0.0000
0.6631 2.9645 0.0000
1.0079 6.8115 2.2428
1.8509 1.2167 2.2428
2.1957 8.5593 0.0000
2.8588 5.5948 0.0000
3.5219 2.6303 0.0000
3.8667 9.9729 2.2428
4.7097 4.3781 2.2428
5.0545 8.2251 0.0000
0.8691 9.5973 2.2428
1.9897 4.0025 2.2428
3.7279 7.1871 2.2428
4.8485 1.5923 2.2428
0.0000 5.5948 0.0000
2.8588 0.0000 0.0000